{
  "formula": "Pm4Dy4Er",
  "functional": "GGA-PBE",
  "state": "relaxed",
  "ef_ev_per_atom": 0.11,
  "dos_ef_per_ev_fu": 15.16,
  "lattice": [[-3.8827, 1.7627, -3.6169], [-7.8868, -3.0149, 2.6752], [-6.8300, 3.4453, 4.6890]],
  "species": ["Dy", "Er", "Dy", "Pm", "Pm", "Dy", "Pm", "Dy", "Pm"],
  "fractional_positions": [[0.6264, 0.4282, 0.3190], [0.5000, 0.0000, 0.0000], [0.0729, 0.2309, 0.6233], [0.8673, 0.3052, 0.9602], [0.2815, 0.1498, 0.2872], [0.9271, 0.7691, 0.3767], [0.7185, 0.8502, 0.7128], [0.3736, 0.5718, 0.6810], [0.1327, 0.6948, 0.0398]]
}